Density functional theory data (PBE) for crystalline BaCaPS2 at its relaxed geometry.

Output
Formation energy (no corrections): -0.7180 eV/atom

Unit cell a=5.289 b=5.289 c=5.208 alpha=90.00 beta=90.00 gamma=90.00
Element x y z (fractional)
Ba 0.000 0.000 0.000
Ca 0.500 0.500 0.500
P 0.500 0.500 0.000
S 0.000 0.500 0.500
S 0.500 0.000 0.500